No. 1
# PBE K2MnOsRu, optimized geometry
data_K2MnOsRu
_cell_length_a 6.136
_cell_length_b 6.136
_cell_length_c 4.324
_cell_angle_alpha 90.00
_cell_angle_beta 90.00
_cell_angle_gamma 90.00
_space_group_name_H-M_alt 'P 4/m m m'
_space_group_IT_number 123
_space_group_name_Hall '-P 4 2'
loop_
_atom_site_label
_atom_site_fract_x
_atom_site_fract_y
_atom_site_fract_z
K1 0.000 0.500 0.000
Mn1 0.000 0.000 0.000
Os1 0.500 0.500 0.500
Ru1 0.000 0.000 0.500
# - Formation enthalpy at 0 K: 2165 meV per atom

***

No. 2
# PBE CrIrRu3, optimized geometry
data_CrIrRu3
_cell_length_a 5.2664
_cell_length_b 5.2664
_cell_length_c 12.2939
_cell_angle_alpha 90.00
_cell_angle_beta 90.00
_cell_angle_gamma 120.00
_space_group_name_H-M_alt 'R -3 m'
_space_group_IT_number 166
_space_group_name_Hall '-R 3 2"'
loop_
_atom_site_label
_atom_site_fract_x
_atom_site_fract_y
_atom_site_fract_z
Cr1 0.0000 0.0000 0.0000
Ir1 0.0000 0.0000 0.5000
Ru1 0.0000 0.5000 0.0000
# - ΔE to the lowest computed polymorph: 1.2276 eV per atom
# - Formation enthalpy at 0 K: 1257 meV per atom

***

No. 3
# PBE Sc2Ni, optimized geometry
data_Sc2Ni
_cell_length_a 11.263
_cell_length_b 3.402
_cell_length_c 7.321
_cell_angle_alpha 90.00
_cell_angle_beta 124.00
_cell_angle_gamma 90.00
_space_group_name_H-M_alt 'C 1 2/m 1'
_space_group_IT_number 12
_space_group_name_Hall '-C 2y'
loop_
_atom_site_label
_atom_site_fract_x
_atom_site_fract_y
_atom_site_fract_z
Sc1 0.091 0.000 0.384
Sc2 0.162 0.500 0.070
Ni1 0.129 0.500 0.683
# - Formation enthalpy at 0 K: -346 meV per atom

***

No. 4
# PBE Y2CoSe, optimized geometry
data_Y2CoSe
_cell_length_a 3.8826
_cell_length_b 3.8826
_cell_length_c 21.0845
_cell_angle_alpha 90.00
_cell_angle_beta 90.00
_cell_angle_gamma 120.00
_space_group_name_H-M_alt 'R -3 m'
_space_group_IT_number 166
_space_group_name_Hall '-R 3 2"'
loop_
_atom_site_label
_atom_site_fract_x
_atom_site_fract_y
_atom_site_fract_z
Y1 0.0000 0.0000 0.2420
Co1 0.0000 0.0000 0.5000
Se1 0.0000 0.0000 0.0000
# - Raw formation energy: -0.840 eV/atom

***

No. 5
# PBE Pu5AlIr3, optimized geometry
data_Pu5AlIr3
_cell_length_a 11.383
_cell_length_b 8.706
_cell_length_c 9.315
_cell_angle_alpha 90.00
_cell_angle_beta 106.72
_cell_angle_gamma 90.00
_space_group_name_H-M_alt 'C 1 2/m 1'
_space_group_IT_number 12
_space_group_name_Hall '-C 2y'
loop_
_atom_site_label
_atom_site_fract_x
_atom_site_fract_y
_atom_site_fract_z
Pu1 0.000 0.195 0.000
Pu2 0.012 0.000 0.652
Pu3 0.168 0.274 0.644
Pu4 0.246 0.500 0.051
Al1 0.066 0.500 0.272
Ir1 0.000 0.500 0.000
Ir2 0.000 0.500 0.500
Ir3 0.161 0.000 0.196
Ir4 0.242 0.000 0.523
# - Formation enthalpy at 0 K: -174 meV per atom

***

No. 6
# PBE KLaTaTe2, optimized geometry
data_KLaTaTe2
_cell_length_a 6.044
_cell_length_b 6.044
_cell_length_c 6.497
_cell_angle_alpha 90.00
_cell_angle_beta 90.00
_cell_angle_gamma 90.00
_space_group_name_H-M_alt 'P 4/m m m'
_space_group_IT_number 123
_space_group_name_Hall '-P 4 2'
loop_
_atom_site_label
_atom_site_fract_x
_atom_site_fract_y
_atom_site_fract_z
K1 0.000 0.000 0.000
La1 0.000 0.000 0.500
Ta1 0.500 0.500 0.000
Te1 0.000 0.500 0.500
# - Raw formation energy: 1.030 eV/atom

***

No. 7
# PBE Ba5SrCa2, optimized geometry
data_Ba5SrCa2
_cell_length_a 8.507
_cell_length_b 17.001
_cell_length_c 6.335
_cell_angle_alpha 90.00
_cell_angle_beta 90.00
_cell_angle_gamma 90.00
_space_group_name_H-M_alt 'P b a m'
_space_group_IT_number 55
_space_group_name_Hall '-P 2 2ab'
loop_
_atom_site_label
_atom_site_fract_x
_atom_site_fract_y
_atom_site_fract_z
Ba1 0.000 0.000 0.000
Ba2 0.003 0.251 0.000
Ba3 0.250 0.376 0.500
Sr1 0.000 0.500 0.000
Ca1 0.248 0.625 0.500
# - ΔE to the lowest computed polymorph: 0.0000 eV per atom
# - Formation enthalpy at 0 K: 37 meV per atom

***

No. 8
# PBE MnCuH3, optimized geometry
data_MnCuH3
_cell_length_a 3.288
_cell_length_b 3.288
_cell_length_c 3.288
_cell_angle_alpha 90.00
_cell_angle_beta 90.00
_cell_angle_gamma 90.00
_space_group_name_H-M_alt 'P m -3 m'
_space_group_IT_number 221
_space_group_name_Hall '-P 4 2 3'
loop_
_atom_site_label
_atom_site_fract_x
_atom_site_fract_y
_atom_site_fract_z
Mn1 0.000 0.000 0.000
Cu1 0.500 0.500 0.500
H1 0.000 0.000 0.500
# - Calculated total energy: -4.396 eV/atom

***

No. 9
# PBE SrPu2TlO8, optimized geometry
data_SrPu2TlO8
_cell_length_a 5.490
_cell_length_b 5.490
_cell_length_c 10.607
_cell_angle_alpha 90.00
_cell_angle_beta 90.00
_cell_angle_gamma 90.00
_space_group_name_H-M_alt 'I -4 m 2'
_space_group_IT_number 119
_space_group_name_Hall 'I -4 -2'
loop_
_atom_site_label
_atom_site_fract_x
_atom_site_fract_y
_atom_site_fract_z
Sr1 0.000 0.000 0.000
Pu1 0.000 0.000 0.500
Pu2 0.000 0.500 0.250
Tl1 0.000 0.500 0.750
O1 0.221 0.243 0.372
# - Raw formation energy: -2.169 eV/atom

***

No. 10
# PBE Zr3PbSe, optimized geometry
data_Zr3PbSe
_cell_length_a 5.428
_cell_length_b 5.428
_cell_length_c 5.428
_cell_angle_alpha 90.00
_cell_angle_beta 90.00
_cell_angle_gamma 90.00
_space_group_name_H-M_alt 'P m -3 m'
_space_group_IT_number 221
_space_group_name_Hall '-P 4 2 3'
loop_
_atom_site_label
_atom_site_fract_x
_atom_site_fract_y
_atom_site_fract_z
Zr1 0.000 0.000 0.500
Pb1 0.000 0.000 0.000
Se1 0.500 0.500 0.500
# - ΔE to the lowest computed polymorph: 1.5061 eV per atom
# - Raw formation energy: 1.110 eV/atom

***

No. 11
# PBE Hf8In2Ga3, optimized geometry
data_Hf8In2Ga3
_cell_length_a 9.219
_cell_length_b 14.000
_cell_length_c 4.531
_cell_angle_alpha 90.00
_cell_angle_beta 90.00
_cell_angle_gamma 90.00
_space_group_name_H-M_alt 'C m m m'
_space_group_IT_number 65
_space_group_name_Hall '-C 2 2'
loop_
_atom_site_label
_atom_site_fract_x
_atom_site_fract_y
_atom_site_fract_z
Hf1 0.000 0.111 0.000
Hf2 0.000 0.372 0.000
Hf3 0.246 0.379 0.500
In1 0.000 0.240 0.500
Ga1 0.000 0.500 0.500
Ga2 0.249 0.500 0.000
# - Formation enthalpy at 0 K: 66 meV per atom

***

No. 12
# PBE Rb4HgAu4, optimized geometry
data_Rb4HgAu4
_cell_length_a 9.902
_cell_length_b 9.902
_cell_length_c 6.961
_cell_angle_alpha 90.00
_cell_angle_beta 90.00
_cell_angle_gamma 90.00
_space_group_name_H-M_alt 'P 42/n'
_space_group_IT_number 86
loop_
_space_group_symop_operation_xyz
'x,y,z'
'-x,-y,-z'
'-y,x+1/2,z+1/2'
'y,-x+1/2,-z+1/2'
'-x+1/2,-y+1/2,z'
'x+1/2,y+1/2,-z'
'y+1/2,-x,z+1/2'
'-y+1/2,x,-z+1/2'
loop_
_atom_site_label
_atom_site_fract_x
_atom_site_fract_y
_atom_site_fract_z
Rb1 0.035 0.679 0.088
Hg1 0.250 0.250 0.250
Au1 0.014 0.368 0.422
# - Formation enthalpy at 0 K: -239 meV per atom

***

Number 1: ρ 4.329 g cm⁻³. Number 2: ρ 9.235 g cm⁻³. Number 3: ρ 4.244 g cm⁻³. Number 4: ρ 5.713 g cm⁻³. Number 5: ρ 13.702 g cm⁻³. Number 6: ρ 4.297 g cm⁻³. Number 7: ρ 3.097 g cm⁻³. Number 8: ρ 5.675 g cm⁻³. Number 9: ρ 9.432 g cm⁻³. Number 10: ρ 5.813 g cm⁻³. Number 11: ρ 10.602 g cm⁻³. Number 12: ρ 6.473 g cm⁻³.